A plane-wave DFT calculation with GGA-PBE was carried out for a geometry-optimized Ho4GaRh4 structure.

Structure (POSCAR):
```
Ho4GaRh4
1.0
8.4563 0.0000 0.0000
0.0000 8.4563 0.0000
0.0000 0.0000 5.4835
Ho Ga Rh
8 2 8
direct
0.0494 0.8185 0.1237
0.1815 0.5494 0.6237
0.3185 0.9506 0.6237
0.4506 0.6815 0.1237
0.5494 0.3185 0.8763
0.6815 0.0494 0.3763
0.8185 0.4506 0.3763
0.9506 0.1815 0.8763
0.2500 0.2500 0.2500
0.7500 0.7500 0.7500
0.0018 0.1376 0.3756
0.1376 0.4982 0.1244
0.3624 0.0018 0.1244
0.4982 0.3624 0.3756
0.5018 0.6376 0.6244
0.6376 0.9982 0.8756
0.8624 0.5018 0.8756
0.9982 0.8624 0.6244
```

Properties
Energy of formation from the pure elements = -0.7197 eV/atom
Fermi-level density of states = 0.4685 states/eV per atom
M_tot = 0.000 μB per atom
ρ = 9.66 g/cm3